Record 1
# InAs, relaxed, DFT PBE-GGA
data_InAs
_cell_length_a 12.309
_cell_length_b 4.274
_cell_length_c 7.694
_cell_angle_alpha 90.00
_cell_angle_beta 90.00
_cell_angle_gamma 90.00
_symmetry_space_group_name_H-M 'P 1'
_symmetry_Int_Tables_number 1
loop_
_symmetry_equiv_pos_as_xyz
'x,y,z'
loop_
_atom_site_label
_atom_site_type_symbol
_atom_site_fract_x
_atom_site_fract_y
_atom_site_fract_z
As1 As 0.500 0.056 0.863
As2 As 0.207 0.342 0.684
As3 As 0.293 0.658 0.184
As4 As 0.707 0.658 0.184
As5 As 0.000 0.944 0.363
As6 As 0.793 0.342 0.684
In1 In 0.789 0.159 0.342
In2 In 0.500 0.554 0.087
In3 In 0.289 0.841 0.842
In4 In 0.711 0.841 0.842
In5 In 0.000 0.446 0.587
In6 In 0.211 0.159 0.342
# Space-group type   Pmn2_1, No. 31
# ΔH_f (0 K)   -0.03 eV per atom

***

Record 2
# InAs, relaxed, DFT PBE-GGA
data_InAs
_cell_length_a 4.362
_cell_length_b 4.362
_cell_length_c 7.169
_cell_angle_alpha 90.00
_cell_angle_beta 90.00
_cell_angle_gamma 120.00
_symmetry_space_group_name_H-M 'P 1'
_symmetry_Int_Tables_number 1
loop_
_symmetry_equiv_pos_as_xyz
'x,y,z'
loop_
_atom_site_label
_atom_site_type_symbol
_atom_site_fract_x
_atom_site_fract_y
_atom_site_fract_z
In1 In 0.333 0.667 0.373
In2 In 0.667 0.333 0.873
As1 As 0.667 0.333 0.498
As2 As 0.333 0.667 0.998
# Space-group type   P6_3mc, No. 186
# ΔH_f (0 K)   -0.23 eV per atom

***

Record 3
# InAs3, relaxed, DFT PBE-GGA
data_InAs3
_cell_length_a 3.759
_cell_length_b 3.759
_cell_length_c 7.405
_cell_angle_alpha 90.00
_cell_angle_beta 90.00
_cell_angle_gamma 120.00
_symmetry_space_group_name_H-M 'P 1'
_symmetry_Int_Tables_number 1
loop_
_symmetry_equiv_pos_as_xyz
'x,y,z'
loop_
_atom_site_label
_atom_site_type_symbol
_atom_site_fract_x
_atom_site_fract_y
_atom_site_fract_z
As1 As 0.000 0.000 0.482
As2 As 0.667 0.333 0.250
As3 As 0.000 0.000 0.018
In1 In 0.667 0.333 0.750
# Space-group type   P-6m2, No. 187
# ΔH_f (0 K)   0.19 eV per atom